[1]
# PBE LiPm4Se5, optimized geometry
# Offset from the most stable computed form   0 kJ/mol of formula units
# Total magnetization   0.000 μB/atom
# DOS at the Fermi energy   8.333 states/eV/cell
# Uncorrected formation energy   -1.79 eV per atom
data_LiPm4Se5
_cell_length_a 9.3033
_cell_length_b 9.3033
_cell_length_c 5.8871
_cell_angle_alpha 90.00
_cell_angle_beta 90.00
_cell_angle_gamma 90.00
_space_group_name_H-M_alt 'I 4'
_space_group_IT_number 79
_space_group_name_Hall 'I 4'
loop_
_atom_site_label
_atom_site_type_symbol
_atom_site_fract_x
_atom_site_fract_y
_atom_site_fract_z
_atom_site_occupancy
Li1 Li 0.0000 0.0000 0.0000 1
Pm1 Pm 0.0994 0.7000 0.4923 1
Se1 Se 0.0000 0.0000 0.4916 1
Se2 Se 0.0952 0.7108 0.9923 1



[2]
# PBE TaAs3I, optimized geometry
# Offset from the most stable computed form   791 kJ/mol of formula units
# Total magnetization   0.000 μB/atom
# DOS at the Fermi energy   8.735 states/eV/cell
# Uncorrected formation energy   1.92 eV per atom
data_TaAs3I
_cell_length_a 5.1454
_cell_length_b 5.1454
_cell_length_c 5.1454
_cell_angle_alpha 90.00
_cell_angle_beta 90.00
_cell_angle_gamma 90.00
_space_group_name_H-M_alt 'P m -3 m'
_space_group_IT_number 221
_space_group_name_Hall '-P 4 2 3'
loop_
_atom_site_label
_atom_site_type_symbol
_atom_site_fract_x
_atom_site_fract_y
_atom_site_fract_z
_atom_site_occupancy
Ta1 Ta 0.0000 0.0000 0.0000 1
As1 As 0.0000 0.5000 0.5000 1
I1 I 0.5000 0.5000 0.5000 1



[3]
# PBE CaPtW, optimized geometry
# DFT formation energy   156 meV per atom
# Total magnetization   0.000 μB/atom
# DOS at the Fermi energy   5.402 states/eV/cell
data_CaPtW
_cell_length_a 2.8507
_cell_length_b 4.0252
_cell_length_c 10.9374
_cell_angle_alpha 90.00
_cell_angle_beta 90.00
_cell_angle_gamma 90.00
_space_group_name_H-M_alt 'I m m 2'
_space_group_IT_number 44
_space_group_name_Hall 'I 2 -2'
loop_
_atom_site_label
_atom_site_type_symbol
_atom_site_fract_x
_atom_site_fract_y
_atom_site_fract_z
_atom_site_occupancy
Ca1 Ca 0.0000 0.0000 0.0000 1
Pt1 Pt 0.0000 0.0000 0.6994 1
W1 W 0.0000 0.0000 0.2851 1



[4]
# PBE LiPmB14, optimized geometry
# DFT formation energy   -265 meV per atom
# Total magnetization   0.000 μB/atom
# DOS at the Fermi energy   0.134 states/eV/cell
data_LiPmB14
_cell_length_a 5.8841
_cell_length_b 10.5284
_cell_length_c 8.3076
_cell_angle_alpha 90.00
_cell_angle_beta 90.00
_cell_angle_gamma 90.00
_space_group_name_H-M_alt 'I m m a'
_space_group_IT_number 74
_space_group_name_Hall '-I 2b 2'
loop_
_atom_site_label
_atom_site_type_symbol
_atom_site_fract_x
_atom_site_fract_y
_atom_site_fract_z
_atom_site_occupancy
Li1 Li 0.2500 0.2500 0.2500 1
Pm1 Pm 0.0000 0.2500 0.6296 1
B1 B 0.0000 0.0886 0.1718 1
B2 B 0.0000 0.1472 0.3691 1
B3 B 0.0000 0.1654 0.9729 1
B4 B 0.1583 0.0574 0.8405 1
B5 B 0.2497 0.0792 0.0470 1



[5]
# PBE Tl2HgIr, optimized geometry
# Offset from the most stable computed form   125 kJ/mol of formula units
# DFT formation energy   571 meV per atom
# Total magnetization   0.000 μB/atom
# DOS at the Fermi energy   5.418 states/eV/cell
data_Tl2HgIr
_cell_length_a 7.1217
_cell_length_b 7.1217
_cell_length_c 7.1217
_cell_angle_alpha 90.00
_cell_angle_beta 90.00
_cell_angle_gamma 90.00
_space_group_name_H-M_alt 'F -4 3 m'
_space_group_IT_number 216
_space_group_name_Hall 'F -4 2 3'
loop_
_atom_site_label
_atom_site_type_symbol
_atom_site_fract_x
_atom_site_fract_y
_atom_site_fract_z
_atom_site_occupancy
Tl1 Tl 0.0000 0.0000 0.0000 1
Tl2 Tl 0.2500 0.2500 0.2500 1
Hg1 Hg 0.0000 0.0000 0.5000 1
Ir1 Ir 0.2500 0.2500 0.7500 1



[6]
# PBE NpAl2Ga2, optimized geometry
# DFT formation energy   -74 meV per atom
# Total magnetization   0.821 μB/atom
# DOS at the Fermi energy   23.262 states/eV/cell
data_NpAl2Ga2
_cell_length_a 24.7741
_cell_length_b 2.8226
_cell_length_c 5.3331
_cell_angle_alpha 90.00
_cell_angle_beta 96.26
_cell_angle_gamma 90.00
_space_group_name_H-M_alt 'C 1 2/m 1'
_space_group_IT_number 12
_space_group_name_Hall '-C 2y'
loop_
_atom_site_label
_atom_site_type_symbol
_atom_site_fract_x
_atom_site_fract_y
_atom_site_fract_z
_atom_site_occupancy
Np1 Np 0.0905 0.0000 0.1902 1
Al1 Al 0.2038 0.0000 0.5388 1
Al2 Al 0.2042 0.5000 0.0736 1
Ga1 Ga 0.0180 0.5000 0.7393 1
Ga2 Ga 0.1214 0.5000 0.7041 1



[7]
# PBE CaHgRh, optimized geometry
# DFT formation energy   -358 meV per atom
# Total magnetization   0.000 μB/atom
# DOS at the Fermi energy   6.024 states/eV/cell
data_CaHgRh
_cell_length_a 11.5732
_cell_length_b 4.5726
_cell_length_c 5.3744
_cell_angle_alpha 90.00
_cell_angle_beta 100.73
_cell_angle_gamma 90.00
_space_group_name_H-M_alt 'C 1 2/m 1'
_space_group_IT_number 12
_space_group_name_Hall '-C 2y'
loop_
_atom_site_label
_atom_site_type_symbol
_atom_site_fract_x
_atom_site_fract_y
_atom_site_fract_z
_atom_site_occupancy
Ca1 Ca 0.1206 0.0000 0.3118 1
Hg1 Hg 0.0888 0.5000 0.7363 1
Rh1 Rh 0.2159 0.0000 0.8785 1



[8]
# PBE Nd8DyY3, optimized geometry
# DFT formation energy   324 meV per atom
# Total magnetization   0.000 μB/atom
# DOS at the Fermi energy   33.874 states/eV/cell
data_Nd8DyY3
_cell_length_a 6.6734
_cell_length_b 11.3129
_cell_length_c 11.6940
_cell_angle_alpha 90.00
_cell_angle_beta 90.00
_cell_angle_gamma 90.00
_space_group_name_H-M_alt 'I 2 2 2'
_space_group_IT_number 23
_space_group_name_Hall 'I 2 2'
loop_
_atom_site_label
_atom_site_type_symbol
_atom_site_fract_x
_atom_site_fract_y
_atom_site_fract_z
_atom_site_occupancy
Nd1 Nd 0.0002 0.1624 0.2500 1
Nd2 Nd 0.2477 0.2532 0.4849 1
Dy1 Dy 0.0000 0.0000 0.0000 1
Y1 Y 0.0000 0.0000 0.5000 1
Y2 Y 0.0000 0.5000 0.2511 1